NiBi2IO6: optimized geometry, GGA+U.

abc: 5.527 5.756 6.600
angles: 107.72 107.66 97.84
Element x y z (fractional)
1 Ni 0.000 0.000 0.000
2 Bi 0.342 0.974 0.674
3 Bi 0.880 0.377 0.602
4 I 0.606 0.734 0.151
5 O 0.110 0.193 0.829
6 O 0.130 0.730 0.844
7 O 0.570 0.349 0.720
8 O 0.636 0.634 0.407
9 O 0.649 0.009 0.990
10 O 0.979 0.864 0.252

Output
The value obtained for the total magnetic moment is 0.10 μB per atom. As for the symmetry: P1, No. 1. Its calculated total energy is -4.90 eV/atom. The value obtained for the calculated volume is 184.4 Å³ per cell.